(1)
A geometry-optimized RbAg2SnSe4 structure. Source: Alexandria, functional PBE.

E_tot   -3.4934 eV per atom
Crystal system   tetragonal
E_form (uncorrected)   -0.42 eV per atom

```
RbAg2SnSe4
1.0
-3.629 3.629 4.460
3.629 -3.629 4.460
3.629 3.629 -4.460
Rb Ag Sn Se
1 2 1 4
Cartesian
0.000 0.000 0.000
3.629 0.000 2.230
0.000 3.629 2.230
0.000 0.000 4.460
1.472 -1.472 2.934
2.157 2.157 1.526
-1.472 1.472 2.934
1.472 1.472 5.987
```

---

(2)
A geometry-optimized RbAgSnSe3 structure. Source: Alexandria, functional PBE.

E_tot   -3.4930 eV per atom
Crystal system   monoclinic
E_form (uncorrected)   -0.45 eV per atom

```
RbAgSnSe3
1.0
5.741 -4.518 0.000
5.741 4.518 0.000
-3.241 0.000 8.301
Rb Ag Sn Se
2 2 2 6
Cartesian
1.604 0.000 1.556
6.638 0.000 6.744
4.121 2.387 4.150
4.121 -2.387 4.150
2.422 0.000 6.025
5.819 0.000 2.275
0.286 0.000 4.797
4.565 2.075 1.639
3.677 2.075 6.661
4.565 -2.075 1.639
3.677 -2.075 6.661
7.956 0.000 3.503
```

---

(3)
A geometry-optimized Rb2AgSnSe4 structure. Source: Alexandria, functional PBE.

E_tot   -3.4560 eV per atom
Crystal system   tetragonal
E_form (uncorrected)   -0.62 eV per atom

```
Rb2AgSnSe4
1.0
-4.189 4.189 3.660
4.189 -4.189 3.660
4.189 4.189 -3.660
Rb Ag Sn Se
2 1 1 4
Cartesian
4.189 0.000 0.000
0.000 4.189 0.000
0.000 0.000 0.000
0.000 0.000 3.660
2.841 2.841 -1.726
1.348 1.348 1.934
1.348 -1.348 5.386
-1.348 1.348 5.386
```

---

(4)
A geometry-optimized RbTaAg2Se4 structure. Source: Alexandria, functional PBE.

E_tot   -4.6645 eV per atom
Crystal system   orthorhombic
E_form (uncorrected)   -0.61 eV per atom

```
RbTaAg2Se4
1.0
-3.307 4.110 4.591
3.307 -4.110 4.591
3.307 4.110 -4.591
Rb Ta Ag Se
1 1 2 4
Cartesian
0.000 0.000 0.000
0.000 0.000 4.591
3.307 0.000 3.142
0.000 4.110 1.449
1.264 -1.504 3.145
2.043 2.606 1.446
2.043 5.613 -1.446
1.264 1.504 6.036
```

---

(5)
A geometry-optimized RbTb3Ag2Se6 structure. Source: Alexandria, functional PBE.

E_tot   -4.7982 eV per atom
Crystal system   monoclinic
E_form (uncorrected)   -1.34 eV per atom

```
RbTb3Ag2Se6
1.0
10.508 -2.138 0.000
10.508 2.138 0.000
-3.541 0.000 8.363
Rb Tb Ag Se
1 3 2 6
Cartesian
0.000 0.000 0.000
-1.771 0.000 4.181
6.370 0.000 1.592
11.105 0.000 6.771
3.103 0.000 6.463
14.373 0.000 1.900
1.051 0.000 4.871
3.542 0.000 0.432
9.101 0.000 2.275
8.375 0.000 6.087
13.933 0.000 7.930
16.425 0.000 3.491
```

---

(6)
A geometry-optimized RbTbAgSe2 structure. Source: Alexandria, functional PBE.

E_tot   -4.1337 eV per atom
Crystal system   monoclinic
E_form (uncorrected)   -1.05 eV per atom

```
RbTbAgSe2
1.0
7.978 0.000 0.000
0.000 4.994 0.000
-0.948 0.000 8.087
Rb Tb Ag Se
2 2 2 4
Cartesian
-0.237 0.514 2.022
-0.711 4.479 6.065
3.278 2.475 6.065
3.752 2.518 2.022
3.989 0.000 0.000
3.515 0.000 4.044
1.158 1.958 7.873
1.632 3.035 3.829
5.398 1.958 4.258
5.872 3.035 0.214
```